No. 1
VASP calculation (PBE-GGA) on a geometry-optimized Ba2CaMg structure.

Cell and atoms, written as CIF:
```
data_Ba2CaMg
_chemical_formula_sum 'Ba2 Ca1 Mg1'
_cell_length_a 6.394
_cell_length_b 4.572
_cell_length_c 6.406
_cell_angle_alpha 90.00
_cell_angle_beta 90.06
_cell_angle_gamma 90.00
_space_group_name_H-M_alt 'P 1'
_space_group_IT_number 1
loop_
_space_group_symop_operation_xyz
'x,y,z'
loop_
_atom_site_label
_atom_site_type_symbol
_atom_site_fract_x
_atom_site_fract_y
_atom_site_fract_z
Ba1 Ba 0.000 0.000 0.000
Ba2 Ba 0.500 0.000 0.500
Ca1 Ca 0.000 0.500 0.500
Mg1 Mg 0.500 0.500 0.000
```

Properties
* formation enthalpy at 0 K: 0.022 eV per atom

---

No. 2
VASP calculation (PBE-GGA) on a geometry-optimized BaFeAg2B structure.

Cell and atoms, written as CIF:
```
data_BaFeAg2B
_chemical_formula_sum 'Ba1 Fe1 Ag2 B1'
_cell_length_a 5.167
_cell_length_b 5.167
_cell_length_c 4.054
_cell_angle_alpha 90.00
_cell_angle_beta 90.00
_cell_angle_gamma 90.00
_space_group_name_H-M_alt 'P 1'
_space_group_IT_number 1
loop_
_space_group_symop_operation_xyz
'x,y,z'
loop_
_atom_site_label
_atom_site_type_symbol
_atom_site_fract_x
_atom_site_fract_y
_atom_site_fract_z
Ba1 Ba 0.000 0.000 0.000
Fe1 Fe 0.500 0.500 0.500
Ag1 Ag 0.000 0.500 0.500
Ag2 Ag 0.500 0.000 0.500
B1 B 0.500 0.500 0.000
```

Properties
* formation enthalpy at 0 K: 0.457 eV per atom

---

No. 3
VASP calculation (PBE-GGA) on a geometry-optimized KScSe2N structure.

Cell and atoms, written as CIF:
```
data_KScSe2N
_chemical_formula_sum 'K1 Sc1 Se2 N1'
_cell_length_a 5.570
_cell_length_b 5.570
_cell_length_c 4.536
_cell_angle_alpha 90.00
_cell_angle_beta 90.00
_cell_angle_gamma 90.00
_space_group_name_H-M_alt 'P 1'
_space_group_IT_number 1
loop_
_space_group_symop_operation_xyz
'x,y,z'
loop_
_atom_site_label
_atom_site_type_symbol
_atom_site_fract_x
_atom_site_fract_y
_atom_site_fract_z
K1 K 0.000 0.000 0.000
Sc1 Sc 0.500 0.500 0.500
Se1 Se 0.000 0.500 0.000
Se2 Se 0.500 0.000 0.000
N1 N 0.000 0.000 0.500
```

Properties
* total DFT energy (no corrections): -3.50 eV/atom

---

No. 4
VASP calculation (PBE-GGA) on a geometry-optimized CsAs2RhS8 structure.

Cell and atoms, written as CIF:
```
data_CsAs2RhS8
_chemical_formula_sum 'Cs1 As2 Rh1 S8'
_cell_length_a 5.929
_cell_length_b 5.929
_cell_length_c 10.680
_cell_angle_alpha 90.00
_cell_angle_beta 90.00
_cell_angle_gamma 120.00
_space_group_name_H-M_alt 'P 1'
_space_group_IT_number 1
loop_
_space_group_symop_operation_xyz
'x,y,z'
loop_
_atom_site_label
_atom_site_type_symbol
_atom_site_fract_x
_atom_site_fract_y
_atom_site_fract_z
Cs1 Cs 0.000 0.000 0.000
As1 As 0.333 0.667 0.690
As2 As 0.667 0.333 0.310
Rh1 Rh 0.000 0.000 0.500
S1 S 0.037 0.693 0.372
S2 S 0.307 0.345 0.372
S3 S 0.333 0.667 0.889
S4 S 0.345 0.037 0.628
S5 S 0.655 0.963 0.372
S6 S 0.667 0.333 0.111
S7 S 0.693 0.655 0.628
S8 S 0.963 0.307 0.628
```

Properties
* total DFT energy (no corrections): -4.36 eV/atom

---

No. 5
VASP calculation (PBE-GGA) on a geometry-optimized Al8FeSi2 structure.

Cell and atoms, written as CIF:
```
data_Al8FeSi2
_chemical_formula_sum 'Al8 Fe1 Si2'
_cell_length_a 7.246
_cell_length_b 7.246
_cell_length_c 7.246
_cell_angle_alpha 148.18
_cell_angle_beta 119.39
_cell_angle_gamma 70.09
_space_group_name_H-M_alt 'P 1'
_space_group_IT_number 1
loop_
_space_group_symop_operation_xyz
'x,y,z'
loop_
_atom_site_label
_atom_site_type_symbol
_atom_site_fract_x
_atom_site_fract_y
_atom_site_fract_z
Al1 Al 0.100 0.344 0.756
Al2 Al 0.174 0.174 0.000
Al3 Al 0.232 0.000 0.232
Al4 Al 0.412 0.656 0.756
Al5 Al 0.588 0.344 0.244
Al6 Al 0.768 0.000 0.768
Al7 Al 0.826 0.826 0.000
Al8 Al 0.900 0.656 0.244
Fe1 Fe 0.000 0.500 0.500
Si1 Si 0.359 0.859 0.500
Si2 Si 0.641 0.141 0.500
```

Properties
* total DFT energy (no corrections): -4.46 eV/atom

---

No. 6
VASP calculation (PBE-GGA) on a geometry-optimized ZrTe2Rh structure.

Cell and atoms, written as CIF:
```
data_ZrTe2Rh
_chemical_formula_sum 'Zr1 Te2 Rh1'
_cell_length_a 3.519
_cell_length_b 3.519
_cell_length_c 6.769
_cell_angle_alpha 90.00
_cell_angle_beta 90.00
_cell_angle_gamma 90.00
_space_group_name_H-M_alt 'P 1'
_space_group_IT_number 1
loop_
_space_group_symop_operation_xyz
'x,y,z'
loop_
_atom_site_label
_atom_site_type_symbol
_atom_site_fract_x
_atom_site_fract_y
_atom_site_fract_z
Zr1 Zr 0.000 0.000 0.000
Te1 Te 0.500 0.500 0.255
Te2 Te 0.500 0.500 0.745
Rh1 Rh 0.000 0.000 0.500
```

Properties
* total DFT energy (no corrections): -5.86 eV/atom

---

No. 7
VASP calculation (PBE-GGA) on a geometry-optimized Na2Zr2MnTe6 structure.

Cell and atoms, written as CIF:
```
data_Na2Zr2MnTe6
_chemical_formula_sum 'Na2 Zr2 Mn1 Te6'
_cell_length_a 7.185
_cell_length_b 7.185
_cell_length_c 8.077
_cell_angle_alpha 98.66
_cell_angle_beta 98.66
_cell_angle_gamma 120.39
_space_group_name_H-M_alt 'P 1'
_space_group_IT_number 1
loop_
_space_group_symop_operation_xyz
'x,y,z'
loop_
_atom_site_label
_atom_site_type_symbol
_atom_site_fract_x
_atom_site_fract_y
_atom_site_fract_z
Na1 Na 0.168 0.832 0.000
Na2 Na 0.832 0.168 0.000
Zr1 Zr 0.332 0.668 0.500
Zr2 Zr 0.668 0.332 0.500
Mn1 Mn 0.000 0.000 0.500
Te1 Te 0.077 0.405 0.719
Te2 Te 0.257 0.257 0.285
Te3 Te 0.405 0.077 0.719
Te4 Te 0.595 0.923 0.281
Te5 Te 0.743 0.743 0.715
Te6 Te 0.923 0.595 0.281
```

Properties
* total DFT energy (no corrections): -5.09 eV/atom

---

No. 8
VASP calculation (PBE-GGA) on a geometry-optimized KTc3Hg structure.

Cell and atoms, written as CIF:
```
data_KTc3Hg
_chemical_formula_sum 'K1 Tc3 Hg1'
_cell_length_a 4.573
_cell_length_b 4.573
_cell_length_c 4.573
_cell_angle_alpha 90.00
_cell_angle_beta 90.00
_cell_angle_gamma 90.00
_space_group_name_H-M_alt 'P 1'
_space_group_IT_number 1
loop_
_space_group_symop_operation_xyz
'x,y,z'
loop_
_atom_site_label
_atom_site_type_symbol
_atom_site_fract_x
_atom_site_fract_y
_atom_site_fract_z
K1 K 0.000 0.000 0.000
Tc1 Tc 0.000 0.000 0.500
Tc2 Tc 0.000 0.500 0.000
Tc3 Tc 0.500 0.000 0.000
Hg1 Hg 0.500 0.500 0.500
```

Properties
* formation enthalpy at 0 K: 2.985 eV per atom